1.
A plane-wave DFT calculation with PBE was carried out for VGa3Ni after structural relaxation.

extended XYZ file:
```
5
Lattice="4.713 0.000 0.000 0.000 4.713 0.000 0.000 0.000 4.713" Properties=species:S:1:pos:R:3 pbc="T T T"
Ni 2.357 2.357 2.357
Ga 0.000 2.357 0.000
Ga 0.000 0.000 2.357
Ga 2.357 0.000 0.000
V 0.000 0.000 0.000
```

Computed properties:
energy relative to the elements	0.833	eV per atom



2.
A plane-wave DFT calculation with PBE was carried out for VGaNi after structural relaxation.

extended XYZ file:
```
6
Lattice="3.506 0.000 0.000 0.000 3.506 0.000 0.000 0.000 6.558" Properties=species:S:1:pos:R:3 pbc="T T T"
Ga 0.000 1.753 5.335
Ga 1.753 0.000 1.223
Ni 0.000 1.753 1.229
Ni 1.753 0.000 5.329
V 1.753 1.753 3.279
V 0.000 0.000 3.279
```

Computed properties:
energy relative to the elements	-0.173	eV per atom



3.
A plane-wave DFT calculation with PBE was carried out for VGaNi after structural relaxation.

extended XYZ file:
```
3
Lattice="-0.583 1.685 2.046 1.216 -1.691 1.739 4.205 2.481 -2.645" Properties=species:S:1:pos:R:3 pbc="T T T"
Ni 4.373 2.220 1.218
Ga 2.629 1.441 -0.437
V 1.317 0.545 1.726
```

Computed properties:
energy relative to the elements	-0.261	eV per atom



4.
A plane-wave DFT calculation with PBE was carried out for V6Ga2Ni after structural relaxation.

extended XYZ file:
```
9
Lattice="4.832 0.043 0.025 0.104 5.580 0.075 0.104 2.845 4.801" Properties=species:S:1:pos:R:3 pbc="T T T"
V 1.659 4.360 3.995
V 1.715 6.872 3.977
V 1.659 5.636 1.790
V 3.381 4.108 0.906
V 3.325 1.596 0.924
V 3.381 2.832 3.111
Ga 4.063 5.618 3.251
Ga 0.978 2.851 1.650
Ni 0.000 0.000 0.000
```

Computed properties:
energy relative to the elements	0.122	eV per atom



5.
A plane-wave DFT calculation with PBE was carried out for VGa2Ni4 after structural relaxation.

extended XYZ file:
```
7
Lattice="-0.181 2.794 3.264 -0.245 -3.268 2.784 5.824 -0.335 3.442" Properties=species:S:1:pos:R:3 pbc="T T T"
Ni 3.627 -0.299 3.290
Ni 1.770 -0.510 6.200
Ni -0.123 -1.634 1.392
Ni -0.090 1.397 1.632
Ga 1.239 -0.261 3.124
Ga 4.158 -0.549 6.365
V 0.000 0.000 0.000
```

Computed properties:
energy relative to the elements	0.630	eV per atom



6.
A plane-wave DFT calculation with PBE was carried out for VGa2Ni9 after structural relaxation.

extended XYZ file:
```
12
Lattice="-0.931 -0.521 3.411 -1.059 -3.319 -0.796 9.815 -3.641 2.123" Properties=species:S:1:pos:R:3 pbc="T T T"
V 0.000 0.000 0.000
Ga 3.281 -1.217 0.710
Ga 6.534 -2.424 1.413
Ni -0.995 -1.920 1.307
Ni 2.260 -3.128 2.011
Ni 5.565 -4.354 2.726
Ni 1.120 -0.849 2.048
Ni 4.442 -2.081 2.767
Ni 7.764 -3.313 3.485
Ni 1.056 -2.248 -0.055
Ni 4.378 -3.480 0.663
Ni 7.700 -4.713 1.382
```

Computed properties:
energy relative to the elements	-0.305	eV per atom